Entry 1:
Material: TbTm4Mg7
Method: DFT, PBE-GGA
State: relaxed

Cell and atoms, written as CIF:
```
data_TbTm4Mg7
_cell_length_a 5.2752
_cell_length_b 5.2752
_cell_length_c 13.0977
_cell_angle_alpha 90.00
_cell_angle_beta 90.00
_cell_angle_gamma 120.00
_space_group_name_H-M_alt 'P -3 m 1'
_space_group_IT_number 164
_space_group_name_Hall '-P 3 2"'
loop_
_atom_site_label
_atom_site_fract_x
_atom_site_fract_y
_atom_site_fract_z
Tb1 0.0000 0.0000 0.0000
Tm1 0.3333 0.6667 0.1627
Tm2 0.3333 0.6667 0.4236
Mg1 0.0000 0.0000 0.2626
Mg2 0.0000 0.0000 0.5000
Mg3 0.3333 0.6667 0.6807
Mg4 0.3333 0.6667 0.9176
```

- Energy of formation from the pure elements: -0.01 eV per atom


Entry 2:
Material: Ti4Nb4Rh
Method: DFT, PBE-GGA
State: relaxed

Cell and atoms, written as CIF:
```
data_Ti4Nb4Rh
_cell_length_a 9.7274
_cell_length_b 9.7274
_cell_length_c 3.2395
_cell_angle_alpha 90.00
_cell_angle_beta 90.00
_cell_angle_gamma 90.00
_space_group_name_H-M_alt 'I 4/m m m'
_space_group_IT_number 139
_space_group_name_Hall '-I 4 2'
loop_
_atom_site_label
_atom_site_fract_x
_atom_site_fract_y
_atom_site_fract_z
Ti1 0.1592 0.1592 0.0000
Nb1 0.0000 0.3325 0.5000
Rh1 0.0000 0.0000 0.5000
```

- Energy of formation from the pure elements: -0.19 eV per atom


Entry 3:
Material: TlTc2Pt
Method: DFT, PBE-GGA
State: relaxed

Cell and atoms, written as CIF:
```
data_TlTc2Pt
_cell_length_a 2.9017
_cell_length_b 2.9017
_cell_length_c 8.0405
_cell_angle_alpha 90.00
_cell_angle_beta 90.00
_cell_angle_gamma 90.00
_space_group_name_H-M_alt 'P 4 m m'
_space_group_IT_number 99
_space_group_name_Hall 'P 4 -2'
loop_
_atom_site_label
_atom_site_fract_x
_atom_site_fract_y
_atom_site_fract_z
Tl1 0.0000 0.0000 0.0000
Tc1 0.0000 0.0000 0.5241
Tc2 0.5000 0.5000 0.7229
Pt1 0.5000 0.5000 0.2804
```

- Energy of formation from the pure elements: 0.19 eV per atom
- Polymorph energy (0 for the lowest one): 0.0 meV/atom


Entry 4:
Material: Fe2NiCl
Method: DFT, PBE-GGA
State: relaxed

Cell and atoms, written as CIF:
```
data_Fe2NiCl
_cell_length_a 2.8193
_cell_length_b 2.8193
_cell_length_c 6.7057
_cell_angle_alpha 90.00
_cell_angle_beta 90.00
_cell_angle_gamma 90.00
_space_group_name_H-M_alt 'P 4/m m m'
_space_group_IT_number 123
_space_group_name_Hall '-P 4 2'
loop_
_atom_site_label
_atom_site_fract_x
_atom_site_fract_y
_atom_site_fract_z
Fe1 0.0000 0.0000 0.2319
Ni1 0.5000 0.5000 0.0000
Cl1 0.5000 0.5000 0.5000
```

- Formation energy without anion corrections: 0.28 eV per atom
- Polymorph energy (0 for the lowest one): 152.5 meV/atom


Entry 5:
Material: LaSb2TeSe
Method: DFT, PBE-GGA
State: relaxed

Cell and atoms, written as CIF:
```
data_LaSb2TeSe
_cell_length_a 6.1657
_cell_length_b 6.1657
_cell_length_c 6.0011
_cell_angle_alpha 90.00
_cell_angle_beta 90.00
_cell_angle_gamma 90.00
_space_group_name_H-M_alt 'P 4/m m m'
_space_group_IT_number 123
_space_group_name_Hall '-P 4 2'
loop_
_atom_site_label
_atom_site_fract_x
_atom_site_fract_y
_atom_site_fract_z
La1 0.0000 0.0000 0.0000
Sb1 0.0000 0.5000 0.0000
Te1 0.0000 0.0000 0.5000
Se1 0.5000 0.5000 0.5000
```

- Formation energy without anion corrections: 0.59 eV per atom
- Polymorph energy (0 for the lowest one): 745.7 meV/atom


Entry 6:
Material: TbPaAs2N
Method: DFT, PBE-GGA
State: relaxed

Cell and atoms, written as CIF:
```
data_TbPaAs2N
_cell_length_a 3.9974
_cell_length_b 3.9974
_cell_length_c 13.5309
_cell_angle_alpha 90.00
_cell_angle_beta 90.00
_cell_angle_gamma 90.00
_space_group_name_H-M_alt 'P 4/n m m'
_space_group_IT_number 129
loop_
_space_group_symop_operation_xyz
'x,y,z'
'-x,-y,-z'
'-y+1/2,x,z'
'y+1/2,-x,-z'
'-x+1/2,-y+1/2,z'
'x+1/2,y+1/2,-z'
'y,-x+1/2,z'
'-y,x+1/2,-z'
'x+1/2,-y,-z'
'-x+1/2,y,z'
'-y,-x,-z'
'y,x,z'
'-x,y+1/2,-z'
'x,-y+1/2,z'
'y+1/2,x+1/2,-z'
'-y+1/2,-x+1/2,z'
loop_
_atom_site_label
_atom_site_fract_x
_atom_site_fract_y
_atom_site_fract_z
Tb1 0.2500 0.2500 0.1066
Pa1 0.2500 0.2500 0.5864
As1 0.2500 0.2500 0.3186
As2 0.2500 0.2500 0.8857
N1 0.2500 0.7500 0.5000
```

- Formation energy without anion corrections: -1.25 eV per atom


| no. | spin magnetization (μB per atom) |
| --- | --- |
| 1 | 0.000 |
| 2 | 0.000 |
| 3 | 0.000 |
| 4 | 1.666 |
| 5 | 0.226 |
| 6 | 0.000 |